Entry 1:
DFT (PBE) results for CuSnRuSe2 after structural relaxation.

a b c (Å): 4.7660 4.7660 4.8318
angles (deg): 90.00 90.00 90.00
Element x y z (fractional)
Cu 0.0000 0.0000 0.0000
Sn 0.5000 0.5000 0.5000
Ru 0.0000 0.0000 0.5000
Se 0.0000 0.5000 0.0000
Se 0.5000 0.0000 0.0000

N(E_F)   5.702 states/eV per cell
Magnetization   2.36 μB/f.u.
Space group   P4/mmm, No. 123
Formation energy (no corrections)   708.3 meV/atom

---

Entry 2:
DFT (PBE) results for V2CuRuSe after structural relaxation.

a b c (Å): 4.4493 4.4493 4.5003
angles (deg): 90.00 90.00 90.00
Element x y z (fractional)
V 0.0000 0.5000 0.0000
V 0.5000 0.0000 0.0000
Cu 0.0000 0.0000 0.5000
Ru 0.5000 0.5000 0.5000
Se 0.5000 0.5000 0.0000

N(E_F)   8.583 states/eV per cell
Magnetization   0.00 μB/f.u.
Space group   P4/mmm, No. 123
Formation energy (no corrections)   909.5 meV/atom